A plane-wave DFT calculation with PBE-GGA was carried out for an optimized crystal structure of Sc3GaC.

Calculated values
E above lowest polymorph = 0 meV per atom
Energy = -6.92 eV per atom
ΔH_f (0 K) = -671 meV/atom

Unit cell a=4.483 b=4.483 c=4.483 alpha=90.00 beta=90.00 gamma=90.00
Positions (direct):
Sc 0.000 0.500 0.000
Sc 0.000 0.000 0.500
Sc 0.500 0.000 0.000
C 0.000 0.000 0.000
Ga 0.500 0.500 0.500

***

A plane-wave DFT calculation with PBE-GGA was carried out for an optimized crystal structure of Sc8GaC4.

Calculated values
Energy = -7.43 eV per atom
ΔH_f (0 K) = -461 meV/atom

Unit cell a=3.396 b=8.287 c=8.287 alpha=87.59 beta=78.18 gamma=78.18
Last column: magnetic moment on the atom in μB.
Positions (direct):
C 0.676 0.171 0.477  -0.02
C 0.847 0.477 0.829  -0.02
C 0.324 0.829 0.523  -0.02
C 0.153 0.523 0.171  -0.02
Sc 0.956 0.703 0.385  0.09
Sc 0.659 0.385 0.297  0.09
Sc 0.352 0.336 0.961  0.10
Sc 0.341 0.615 0.703  0.09
Sc 0.044 0.297 0.615  0.09
Sc 0.648 0.664 0.039  0.10
Sc 0.687 0.961 0.664  0.10
Sc 0.313 0.039 0.336  0.10
Ga 0.000 0.000 0.000  -0.01